Entry from Alexandria via LeMat-Bulk: crystalline VCl2O at its relaxed geometry (PBE with a Hubbard U).

a = 4.339 Å, b = 4.339 Å, c = 4.339 Å
α = 60.00°, β = 60.00°, γ = 60.00°
Sites, in units of the cell vectors:
V: 0.000 0.000 0.000
Cl: 0.250 0.250 0.250
Cl: 0.750 0.750 0.750
O: 0.500 0.500 0.500

Output
* E: -3.919 eV per atom
* calculated volume: 14.45 Å³ per atom
* M_tot: 3.0 μB/f.u.
* DOS at the Fermi energy: 2.7 states/eV per cell